[1]
Compound: NaFe3Cl
Source: the Alexandria database
Functional: PBE
Structure: relaxed

Cell lengths 4.728, 4.728, 4.728 Å; angles 90.00, 90.00, 90.00 degrees
Positions (direct):
Na1 0.000 0.000 0.000
Fe1 0.000 0.500 0.000
Fe2 0.000 0.000 0.500
Fe3 0.500 0.000 0.000
Cl1 0.500 0.500 0.500

Results
For the energy above the lowest structure with this stoichiometry, the calculation gives 1085 meV per atom. The formation energy without anion corrections is 1874 meV/atom. As for the space group: No. 221. The density of states at the Fermi level is 1.99 states/eV/atom. The value obtained for the total energy is -19.2 eV for the cell shown.


[2]
Compound: NaFe2Cl
Source: the Alexandria database
Functional: PBE
Structure: relaxed

Cell lengths 7.777, 7.777, 6.036 Å; angles 49.90, 49.90, 90.00 degrees
Positions (direct):
Na1 0.500 0.500 0.000
Na2 0.250 0.750 0.500
Fe1 0.691 0.125 0.250
Fe2 0.059 0.625 0.250
Fe3 0.375 0.309 0.750
Fe4 0.875 0.941 0.750
Cl1 0.000 0.000 0.000
Cl2 0.750 0.250 0.500

Results
For the energy above the lowest structure with this stoichiometry, the calculation gives 0 meV per atom. The formation energy without anion corrections is 619 meV/atom. As for the space group: No. 122. The density of states at the Fermi level is 0.94 states/eV/atom. The value obtained for the total energy is -35.2 eV for the cell shown.


[3]
Compound: NaFeCl14
Source: the Alexandria database
Functional: PBE
Structure: relaxed

Cell lengths 7.465, 10.498, 8.192 Å; angles 82.17, 80.22, 102.90 degrees
Positions (direct):
Na1 0.283 0.392 0.973
Fe1 0.746 0.246 0.031
Cl1 0.615 0.696 0.566
Cl2 0.904 0.098 0.536
Cl3 0.654 0.387 0.192
Cl4 0.975 0.716 0.353
Cl5 0.546 0.252 0.849
Cl6 0.361 0.944 0.598
Cl7 0.887 0.025 0.779
Cl8 0.559 0.061 0.168
Cl9 0.966 0.390 0.836
Cl10 0.970 0.206 0.167
Cl11 0.279 0.846 0.838
Cl12 0.228 0.718 0.215
Cl13 0.594 0.506 0.684
Cl14 0.435 0.516 0.213

Results
The formation energy without anion corrections is -353 meV/atom. As for the space group: No. 1. The density of states at the Fermi level is 0.00 states/eV/atom. The value obtained for the total energy is -41.3 eV for the cell shown.


[4]
Compound: Na2Fe3Cl9
Source: the Alexandria database
Functional: PBE
Structure: relaxed

Cell lengths 9.738, 9.489, 9.489 Å; angles 113.07, 104.69, 104.69 degrees
Positions (direct):
Na1 0.199 0.619 0.260
Na2 0.801 0.740 0.381
Na3 0.801 0.381 0.740
Na4 0.199 0.260 0.619
Fe1 0.342 0.182 0.182
Fe2 0.658 0.818 0.818
Fe3 0.701 0.054 0.298
Fe4 0.299 0.702 0.946
Fe5 0.299 0.946 0.702
Fe6 0.701 0.298 0.054
Cl1 0.500 0.217 0.783
Cl2 0.134 0.458 0.908
Cl3 0.134 0.908 0.458
Cl4 0.866 0.542 0.092
Cl5 0.772 0.677 0.677
Cl6 0.228 0.323 0.323
Cl7 0.542 0.396 0.184
Cl8 0.458 0.816 0.604
Cl9 0.458 0.604 0.816
Cl10 0.542 0.184 0.396
Cl11 0.157 0.694 0.694
Cl12 0.789 0.903 0.107
Cl13 0.789 0.107 0.903
Cl14 0.211 0.097 0.893
Cl15 0.211 0.893 0.097
Cl16 0.500 0.783 0.217
Cl17 0.843 0.306 0.306
Cl18 0.866 0.092 0.542

Results
The formation energy without anion corrections is -975 meV/atom. As for the space group: No. 12. The density of states at the Fermi level is 0.79 states/eV/atom. The value obtained for the total energy is -116.6 eV for the cell shown.